! NbZn2AgO | Alexandria | PBE-GGA | optimized geometry; values from VASP
&SYSTEM
  ibrav = 0, nat = 5, ntyp = 4
/
ATOMIC_SPECIES
Nb 92.91 Nb.upf
Zn 65.41 Zn.upf
Ag 107.87 Ag.upf
O 16.00 O.upf
ATOMIC_POSITIONS angstrom
Nb 0.0000 0.0000 0.0000
Zn 0.0000 2.5776 0.0000
Zn 2.5776 0.0000 0.0000
Ag 0.0000 0.0000 2.5989
O 2.5776 2.5776 2.5989
CELL_PARAMETERS angstrom
5.1552 0.0000 0.0000
0.0000 5.1552 0.0000
0.0000 0.0000 5.1977
! Space group = P4/mmm (123)
! D(E_F) = 1.89 states/eV/atom
! Density = 4.2 g/cm3
! Total magnetic moment = 1.837 μB per cell
! Formation energy without anion corrections = 38.316 kcal/mol of atoms

***

! NbAg3Os | Alexandria | PBE-GGA | optimized geometry; values from VASP
&SYSTEM
  ibrav = 0, nat = 5, ntyp = 3
/
ATOMIC_SPECIES
Nb 92.91 Nb.upf
Ag 107.87 Ag.upf
Os 190.23 Os.upf
ATOMIC_POSITIONS angstrom
Nb 0.0000 0.0000 0.0000
Ag 0.0000 0.0000 2.5066
Ag 0.0000 2.5066 0.0000
Ag 2.5066 0.0000 0.0000
Os 2.5066 2.5066 2.5066
CELL_PARAMETERS angstrom
5.0132 0.0000 0.0000
0.0000 5.0132 0.0000
0.0000 0.0000 5.0132
! Space group = Pm-3m (221)
! D(E_F) = 1.17 states/eV/atom
! ΔE to the lowest computed polymorph = 436.9 meV per atom
! Energy of formation = 2.45 eV per atom
! Density = 8.0 g/cm3
! Total magnetic moment = 3.327 μB per cell

***

! NbAgOs2 | Alexandria | PBE-GGA | optimized geometry; values from VASP
&SYSTEM
  ibrav = 0, nat = 8, ntyp = 3
/
ATOMIC_SPECIES
Nb 92.91 Nb.upf
Ag 107.87 Ag.upf
Os 190.23 Os.upf
ATOMIC_POSITIONS angstrom
Nb 0.0000 0.0000 0.0000
Nb 0.0000 3.6431 1.3408
Ag 3.6431 0.0000 1.3408
Ag 0.0000 0.0000 2.6817
Os 5.4647 1.6617 -0.6704
Os 1.6617 1.8216 0.6704
Os -1.8216 1.9814 2.0113
Os 1.9814 1.8216 3.3521
CELL_PARAMETERS angstrom
-3.6431 3.6431 2.6817
3.6431 -3.6431 2.6817
3.6431 3.6431 -2.6817
! Space group = I-42d (122)
! D(E_F) = 1.07 states/eV/atom
! ΔE to the lowest computed polymorph = 505.0 meV per atom
! Energy of formation = 0.95 eV per atom
! Density = 13.6 g/cm3
! Total magnetic moment = 0.000 μB per cell

***

! NbAg3Os | Alexandria | PBE-GGA | optimized geometry; values from VASP
&SYSTEM
  ibrav = 0, nat = 5, ntyp = 3
/
ATOMIC_SPECIES
Nb 92.91 Nb.upf
Ag 107.87 Ag.upf
Os 190.23 Os.upf
ATOMIC_POSITIONS angstrom
Nb 0.0000 0.0000 0.0000
Ag 0.0000 2.4616 2.4616
Ag 2.4616 0.0000 2.4616
Ag 2.4616 2.4616 0.0000
Os 2.4616 2.4616 2.4616
CELL_PARAMETERS angstrom
4.9232 0.0000 0.0000
0.0000 4.9232 0.0000
0.0000 0.0000 4.9232
! Space group = Pm-3m (221)
! D(E_F) = 1.53 states/eV/atom
! ΔE to the lowest computed polymorph = 0.0 meV per atom
! Energy of formation = 2.01 eV per atom
! Density = 8.4 g/cm3
! Total magnetic moment = 0.741 μB per cell

***

! NbAgOs2 | Alexandria | PBE-GGA | optimized geometry; values from VASP
&SYSTEM
  ibrav = 0, nat = 4, ntyp = 3
/
ATOMIC_SPECIES
Nb 92.91 Nb.upf
Ag 107.87 Ag.upf
Os 190.23 Os.upf
ATOMIC_POSITIONS angstrom
Nb 0.0000 0.0000 0.0000
Ag 3.1767 3.1767 3.1767
Os 1.5883 1.5883 1.5883
Os 4.7650 4.7650 4.7650
CELL_PARAMETERS angstrom
0.0000 3.1767 3.1767
3.1767 0.0000 3.1767
3.1767 3.1767 0.0000
! Space group = Fm-3m (225)
! D(E_F) = 1.74 states/eV/atom
! ΔE to the lowest computed polymorph = 0.0 meV per atom
! Energy of formation = 0.45 eV per atom
! Density = 15.1 g/cm3
! Total magnetic moment = 0.000 μB per cell

***

! NbAgOsPb2 | Alexandria | PBE-GGA | optimized geometry; values from VASP
&SYSTEM
  ibrav = 0, nat = 5, ntyp = 4
/
ATOMIC_SPECIES
Nb 92.91 Nb.upf
Ag 107.87 Ag.upf
Os 190.23 Os.upf
Pb 207.20 Pb.upf
ATOMIC_POSITIONS angstrom
Nb 0.0000 0.0000 0.0000
Ag 2.7659 2.7659 2.3701
Os 0.0000 0.0000 2.3701
Pb 0.0000 2.7659 0.0000
Pb 2.7659 0.0000 0.0000
CELL_PARAMETERS angstrom
5.5318 0.0000 0.0000
0.0000 5.5318 0.0000
0.0000 0.0000 4.7402
! Space group = P4/mmm (123)
! D(E_F) = 0.78 states/eV/atom
! Energy of formation = 1.21 eV per atom
! Density = 9.2 g/cm3
! Total magnetic moment = 0.467 μB per cell